## Rb2ReBrCl6 (GGA-PBE)

Data for crystalline Rb2ReBrCl6 at its relaxed geometry.

Summary:
Symmetry   Fm-3m (225)
Formation energy (no corrections)   -1.01 eV/atom
Magnetic moment   0.20 μB per atom
Offset from the most stable computed form   1.93 kcal/mol of atoms

a = 7.9365 Å, b = 7.9365 Å, c = 7.9365 Å
α = 60.00°, β = 60.00°, γ = 60.00°
Closest atoms and distances in Å follow each position.
Fractional coordinates of all 10 atoms:
Rb 0.2500 0.2500 0.2500  12 Cl 3.99
Rb 0.7500 0.7500 0.7500  12 Cl 3.99
Re 0.0000 0.0000 0.0000  6 Cl 2.35
Br 0.5000 0.5000 0.5000  6 Cl 3.26
Cl 0.2098 0.2098 0.7902  1 Re 2.35
Cl 0.2098 0.7902 0.2098  1 Re 2.35
Cl 0.2098 0.7902 0.7902  1 Re 2.35
Cl 0.7902 0.2098 0.2098  1 Re 2.35
Cl 0.7902 0.2098 0.7902  1 Re 2.35
Cl 0.7902 0.7902 0.2098  1 Re 2.35